1.
Here is an optimized crystal structure of LiNbSCl2 from Alexandria. Energies are from GGA-PBE.

* density of states at the Fermi level: 2.738 states/eV per cell
* size of the total moment: 2.00 μB per cell
* raw total energy: -4.13 eV per atom

a b c (Å): 4.308 4.308 4.906
angles (deg): 90.00 90.00 90.00
Fractional coordinates of all 5 atoms:
Li  0.000  0.000  0.000
Nb  0.500  0.500  0.500
S  0.000  0.000  0.500
Cl  0.000  0.500  0.000
Cl  0.500  0.000  0.000

---

2.
Here is an optimized crystal structure of LiNbSCl2 from Alexandria. Energies are from GGA-PBE.

* density of states at the Fermi level: 2.724 states/eV per cell
* size of the total moment: 0.67 μB per cell
* raw total energy: -4.80 eV per atom

a b c (Å): 4.981 4.981 4.816
angles (deg): 90.00 90.00 90.00
Fractional coordinates of all 5 atoms:
Li  0.000  0.000  0.000
Nb  0.500  0.500  0.500
S  0.500  0.500  0.000
Cl  0.000  0.500  0.500
Cl  0.500  0.000  0.500

---

3.
Here is an optimized crystal structure of LiTiNbCl2 from Alexandria. Energies are from GGA-PBE.

* density of states at the Fermi level: 3.146 states/eV per cell
* size of the total moment: 1.23 μB per cell
* raw total energy: -4.55 eV per atom

a b c (Å): 5.054 5.054 4.824
angles (deg): 90.00 90.00 90.00
Fractional coordinates of all 5 atoms:
Li  0.000  0.000  0.000
Ti  0.500  0.500  0.000
Nb  0.500  0.500  0.500
Cl  0.000  0.500  0.500
Cl  0.500  0.000  0.500

---

- What is the density of states at the Fermi level in the second record?
  2.724 states/eV per cell